# 1
DFT (PBE-GGA) results for crystalline SrZnSi at its relaxed geometry.

The structure belongs to space group P6_3/mmc (No. 194); the cell edges are 4.3013, 4.3013 and 8.9908 Å and the angles 90.00°, 90.00° and 120.00°. The distinct sites, in fractional coordinates, are Sr at (0.0000, 0.0000, 0.0000), Zn at (0.3333, 0.6667, 0.2500) and Si at (0.3333, 0.6667, 0.7500).

As for the final energy: -3.231 eV per atom.


# 2
DFT (PBE-GGA) results for crystalline SrZnSi at its relaxed geometry.

The structure belongs to space group P6_3mc (No. 186); the cell edges are 4.3024, 4.3024 and 8.9583 Å and the angles 90.00°, 90.00° and 120.00°. The distinct sites, in fractional coordinates, are Sr at (0.0000, 0.0000, 0.0000), Zn at (0.3333, 0.6667, 0.2511) and Si at (0.3333, 0.6667, 0.7481).

As for the final energy: -3.230 eV per atom.


# 3
DFT (PBE-GGA) results for crystalline SrZnSi at its relaxed geometry.

The structure belongs to space group P-62m (No. 189); the cell edges are 7.2512, 7.2512 and 4.4391 Å and the angles 90.00°, 90.00° and 120.00°. The distinct sites, in fractional coordinates, are Sr at (0.0000, 0.5895, 0.0000), Zn at (0.0000, 0.0000, 0.0000), Zn at (0.3333, 0.6667, 0.5000) and Si at (0.0000, 0.2414, 0.5000).

As for the final energy: -2.896 eV per atom.


Among the records above, which one has the lowest final energy?
number 1


Please write out number 3 again, unchanged.
DFT (PBE-GGA) results for crystalline SrZnSi at its relaxed geometry.

The structure belongs to space group P-62m (No. 189); the cell edges are 7.2512, 7.2512 and 4.4391 Å and the angles 90.00°, 90.00° and 120.00°. The distinct sites, in fractional coordinates, are Sr at (0.0000, 0.5895, 0.0000), Zn at (0.0000, 0.0000, 0.0000), Zn at (0.3333, 0.6667, 0.5000) and Si at (0.0000, 0.2414, 0.5000).

As for the final energy: -2.896 eV per atom.


Among the records above, which one has the lowest final energy?
number 1